# 1
Density functional theory data (PBE) for Er2Ga5Pd2Rh after structural relaxation.

abc: 4.1142 9.3347 9.3347
angles: 90.00 90.00 90.00
With the nearest neighbours (Å) after each atom.
Element x y z (fractional)
Ga  0.5000  0.9462  0.1962  3 Ga 2.69-2.88, 2 Pd 2.77, 2 Rh 2.80
Ga  0.5000  0.0538  0.8038  3 Ga 2.69-2.88, 2 Pd 2.77, 2 Rh 2.80
Ga  0.5000  0.3038  0.5538  3 Ga 2.69-2.88, 2 Pd 2.77, 2 Rh 2.80
Ga  0.5000  0.1962  0.0538  3 Ga 2.69-2.88, 2 Pd 2.77, 2 Rh 2.80
Ga  0.5000  0.5538  0.6962  3 Ga 2.69-2.88, 2 Pd 2.77, 2 Rh 2.80
Ga  0.5000  0.8038  0.9462  3 Ga 2.69-2.88, 2 Pd 2.77, 2 Rh 2.80
Ga  0.5000  0.5000  0.0000  4 Pd 2.56
Ga  0.5000  0.0000  0.5000  4 Pd 2.56
Ga  0.5000  0.4462  0.3038  3 Ga 2.69-2.88, 2 Pd 2.77, 2 Rh 2.80
Ga  0.5000  0.6962  0.4462  3 Ga 2.69-2.88, 2 Pd 2.77, 2 Rh 2.80
Er  0.0000  0.1827  0.3173  3 Pd 2.67-2.85
Er  0.0000  0.3173  0.8173  3 Pd 2.67-2.85
Er  0.0000  0.6827  0.1827  3 Pd 2.67-2.85
Er  0.0000  0.8173  0.6827  3 Pd 2.67-2.85
Pd  0.0000  0.3852  0.1148  6 Ga 2.56-2.77, 3 Er 2.67-2.85
Pd  0.0000  0.6148  0.8852  6 Ga 2.56-2.77, 3 Er 2.67-2.85
Pd  0.0000  0.8852  0.3852  6 Ga 2.56-2.77, 3 Er 2.67-2.85
Pd  0.0000  0.1148  0.6148  6 Ga 2.56-2.77, 3 Er 2.67-2.85
Rh  0.0000  0.5000  0.5000  8 Ga 2.80
Rh  0.0000  0.0000  0.0000  8 Ga 2.80

Computed properties:
Spin magnetization = 0.000 μB/atom
Space group = P4/mbm
DFT total energy = -48.15 eV/f.u.
Calculated formation energy = -0.62 eV/atom

***

# 2
Density functional theory data (PBE) for ErGa4Pd2Ru after structural relaxation.

abc: 4.2636 4.2636 8.9318
angles: 76.19 76.19 60.00
With the nearest neighbours (Å) after each atom.
Element x y z (fractional)
Pd  0.2392  0.2392  0.2824  7 Ga 2.58-2.73
Pd  0.7608  0.7608  0.7176  7 Ga 2.58-2.73
Er  0.0000  0.0000  0.0000  6 Ga 2.97
Ga  0.6024  0.6024  0.1928  3 Pd 2.58, 1 Ru 2.64
Ga  0.1331  0.1331  0.6007  3 Ru 2.61, 4 Pd 2.66-2.73
Ga  0.3976  0.3976  0.8072  3 Pd 2.58, 1 Ru 2.64
Ga  0.8669  0.8669  0.3993  3 Ru 2.61, 4 Pd 2.66-2.73
Ru  0.5000  0.5000  0.5000  8 Ga 2.61-2.64

Computed properties:
Spin magnetization = 0.000 μB/atom
Space group = R-3m
DFT total energy = -40.85 eV/f.u.
Calculated formation energy = -0.57 eV/atom